## Tb2Al8Rh (PBE)

Data for a relaxed Tb2Al8Rh crystal. Values from VASP.

```
&SYSTEM
  ibrav = 0, nat = 11, ntyp = 3
/
ATOMIC_SPECIES
Tb 158.93 Tb.upf
Al 26.98 Al.upf
Rh 102.91 Rh.upf
CELL_PARAMETERS angstrom
-2.8977 1.4866 2.7852
0.2274 -3.6724 2.1967
8.2343 4.2710 6.2875
ATOMIC_POSITIONS crystal
Tb 0.0000 0.0000 0.3099
Tb 0.0000 0.0000 0.6901
Al 0.0000 0.5000 0.5000
Al 0.5000 0.0000 0.5000
Al 0.5000 0.5000 0.3061
Al 0.5000 0.5000 0.6939
Al 0.0000 0.5000 0.1204
Al 0.5000 0.0000 0.1204
Al 0.0000 0.5000 0.8796
Al 0.5000 0.0000 0.8796
Rh 0.0000 0.0000 0.0000
```

Values from the calculation:
The value obtained for the total DFT energy (no corrections) is -4.780 eV/atom. As for the space group: P4/mmm (123). As for the energy of formation from the pure elements: -0.55 eV per atom.

---

## RbBiH2 (PBE)

Data for a relaxed RbBiH2 crystal. Values from VASP.

```
&SYSTEM
  ibrav = 0, nat = 8, ntyp = 3
/
ATOMIC_SPECIES
H 1.01 H.upf
Bi 208.98 Bi.upf
Rb 85.47 Rb.upf
CELL_PARAMETERS angstrom
-5.1016 -1.3667 1.2329
1.4067 -5.2379 0.0143
-0.3930 -2.8940 7.0950
ATOMIC_POSITIONS crystal
H 0.7874 0.1250 0.2500
H 0.9626 0.6250 0.2500
H 0.3750 0.2126 0.7500
H 0.8750 0.0374 0.7500
Bi 0.0000 0.0000 0.0000
Bi 0.7500 0.2500 0.5000
Rb 0.5000 0.5000 0.0000
Rb 0.2500 0.7500 0.5000
```

Values from the calculation:
The value obtained for the total DFT energy (no corrections) is -2.707 eV/atom. As for the space group: I-42d (122). The calculation puts the distance to the lowest polymorph of the same formula at 206 meV/atom.

---

## TaFePt2 (PBE)

Data for a relaxed TaFePt2 crystal. Values from VASP.

```
&SYSTEM
  ibrav = 0, nat = 4, ntyp = 3
/
ATOMIC_SPECIES
Fe 55.84 Fe.upf
Pt 195.08 Pt.upf
Ta 180.95 Ta.upf
CELL_PARAMETERS angstrom
-2.7852 2.3240 3.1494
-3.4031 -0.4400 3.3619
2.6896 -0.2990 3.9312
ATOMIC_POSITIONS crystal
Fe 0.7500 0.7500 0.7500
Pt 0.0053 0.0053 0.9932
Pt 0.4947 0.4947 0.5068
Ta 0.2500 0.2500 0.2500
```

Values from the calculation:
The value obtained for the total DFT energy (no corrections) is -8.404 eV/atom. As for the space group: C2/m (12). As for the energy of formation from the pure elements: -0.30 eV per atom. The calculation puts the distance to the lowest polymorph of the same formula at 270 meV/atom.

---

## Ti2ZnHg (PBE)

Data for a relaxed Ti2ZnHg crystal. Values from VASP.

```
&SYSTEM
  ibrav = 0, nat = 4, ntyp = 3
/
ATOMIC_SPECIES
Zn 65.41 Zn.upf
Hg 200.59 Hg.upf
Ti 47.87 Ti.upf
CELL_PARAMETERS angstrom
4.0620 0.0000 0.0000
0.0000 4.1211 0.0000
0.0000 0.0000 4.1211
ATOMIC_POSITIONS crystal
Zn 0.5000 0.0000 0.0000
Hg 0.5000 0.5000 0.5000
Ti 0.0000 0.0000 0.5000
Ti 0.0000 0.5000 0.0000
```

Values from the calculation:
The value obtained for the total DFT energy (no corrections) is -4.436 eV/atom. As for the space group: P4/mmm (123). As for the energy of formation from the pure elements: -0.09 eV per atom. The calculation puts the distance to the lowest polymorph of the same formula at 0 meV/atom.

---

## RbInSb (PBE)

Data for a relaxed RbInSb crystal. Values from VASP.

```
&SYSTEM
  ibrav = 0, nat = 3, ntyp = 3
/
ATOMIC_SPECIES
Sb 121.76 Sb.upf
Rb 85.47 Rb.upf
In 114.82 In.upf
CELL_PARAMETERS angstrom
-1.4876 -1.4659 3.3045
-1.2528 -3.1429 -1.9582
7.4307 -0.9200 0.6246
ATOMIC_POSITIONS crystal
Sb 0.6925 0.6925 0.3850
Rb 0.0025 0.0025 0.0050
In 0.3050 0.3050 0.6100
```

Values from the calculation:
Its energy relative to the elements, uncorrected is -0.18 eV per atom. The value obtained for the total DFT energy (no corrections) is -2.786 eV/atom. As for the space group: I4mm (107).

---

## CsLiW3 (PBE)

Data for a relaxed CsLiW3 crystal. Values from VASP.

```
&SYSTEM
  ibrav = 0, nat = 5, ntyp = 3
/
ATOMIC_SPECIES
Cs 132.91 Cs.upf
W 183.84 W.upf
Li 6.94 Li.upf
CELL_PARAMETERS angstrom
-4.5645 0.0165 1.9455
-1.6324 -2.7319 -3.8068
1.0585 -4.1420 2.5186
ATOMIC_POSITIONS crystal
Cs 0.0000 0.0000 0.0000
W 0.0000 0.5000 0.0000
W 0.0000 0.0000 0.5000
W 0.5000 0.0000 0.0000
Li 0.5000 0.5000 0.5000
```

Values from the calculation:
The value obtained for the total DFT energy (no corrections) is -4.540 eV/atom. As for the space group: Pm-3m (221). As for the energy of formation from the pure elements: 3.79 eV per atom. The calculation puts the distance to the lowest polymorph of the same formula at 1051 meV/atom.